[1]
Material: Y3CoS
Method: DFT, PBE-GGA
State: relaxed

Cell and atoms, written as POSCAR:
```
Y3CoS
1.0
-4.241 2.309 1.742
-2.431 -1.168 -4.369
-1.569 -4.434 2.058
Co Y S
1 3 1
Cartesian
0.000 0.000 0.000
-2.121 1.155 0.871
-0.784 -2.217 1.029
-1.215 -0.584 -2.184
-4.120 -1.646 -0.284
```

Total magnetic moment in μB/cell: 0.00
ΔE to the lowest computed polymorph in eV/f.u.: 0.00
Formation energy (no corrections) in meV per atom: -233

[2]
Material: Na17In11Hg
Method: DFT, PBE-GGA
State: relaxed

Cell and atoms, written as POSCAR:
```
Na17In11Hg
1.0
9.600 -0.031 -3.413
-4.762 8.335 -3.413
-0.003 -0.006 10.256
In Na Hg
11 17 1
Cartesian
0.890 1.528 7.060
-3.002 5.253 6.229
4.818 5.232 -4.913
2.174 6.772 -4.913
-2.093 6.812 -1.534
2.651 1.540 1.892
6.050 -0.020 6.229
5.718 6.749 0.295
0.032 3.066 1.892
6.958 1.540 -1.534
3.050 8.303 0.295
4.164 2.580 7.174
0.190 4.895 7.174
5.673 -0.017 1.182
-1.650 2.906 -1.190
8.090 2.559 1.582
-0.600 5.723 3.761
5.275 2.301 3.761
-1.764 8.299 1.582
4.832 8.295 -3.262
0.004 0.007 0.008
3.319 5.698 -1.821
1.983 3.404 4.598
3.155 5.416 2.271
-2.813 4.926 1.182
4.930 3.391 0.333
3.342 -0.001 -1.190
0.518 5.961 0.333
1.787 3.068 -0.703
```

Total magnetic moment in μB/cell: 0.00
DFT formation energy in meV per atom: -122

[3]
Material: YTl2AgF
Method: DFT, PBE-GGA
State: relaxed

Cell and atoms, written as POSCAR:
```
YTl2AgF
1.0
6.192 0.000 0.000
0.000 5.550 0.000
0.000 0.000 6.192
F Tl Y Ag
1 2 1 1
Cartesian
3.096 2.775 3.096
0.000 0.000 3.096
3.096 0.000 0.000
0.000 0.000 0.000
0.000 2.775 0.000
```

Total magnetic moment in μB/cell: 0.00
Formation energy (no corrections) in meV per atom: 288

[4]
Material: NaCuSb2I
Method: DFT, PBE-GGA
State: relaxed

Cell and atoms, written as POSCAR:
```
NaCuSb2I
1.0
5.461 0.000 0.000
0.000 5.461 0.000
0.000 0.000 5.681
Sb Cu Na I
2 1 1 1
Cartesian
2.730 0.000 0.000
0.000 2.730 0.000
2.730 2.730 2.840
0.000 0.000 0.000
0.000 0.000 2.840
```

Total magnetic moment in μB/cell: 0.00
ΔE to the lowest computed polymorph in eV/f.u.: 4.43
Formation energy (no corrections) in meV per atom: 956

[5]
Material: NaYHf
Method: DFT, PBE-GGA
State: relaxed

Cell and atoms, written as POSCAR:
```
NaYHf
1.0
-4.043 3.680 1.529
-0.463 -2.859 -4.882
-2.988 -4.494 2.914
Y Na Hf
2 2 2
Cartesian
-3.596 0.377 0.120
-3.897 -4.049 -0.559
-1.494 -2.247 1.457
0.000 0.000 0.000
-5.090 -1.870 1.578
-2.403 -1.803 -2.017
```

Total magnetic moment in μB/cell: 3.48
DFT formation energy in meV per atom: 757
ΔE to the lowest computed polymorph in eV/f.u.: 1.91

[6]
Material: SrTmPd2
Method: DFT, PBE-GGA
State: relaxed

Cell and atoms, written as POSCAR:
```
SrTmPd2
1.0
4.737 0.000 0.000
2.369 4.103 0.000
2.369 1.368 5.261
Pd Sr Tm
2 1 1
Cartesian
2.369 1.368 1.900
7.106 4.103 3.360
0.000 0.000 0.000
4.737 2.735 2.630
```

Total magnetic moment in μB/cell: 0.00
DFT formation energy in meV per atom: -686
ΔE to the lowest computed polymorph in eV/f.u.: 0.39

[7]
Material: BeCr2As
Method: DFT, PBE-GGA
State: relaxed

Cell and atoms, written as POSCAR:
```
BeCr2As
1.0
2.572 0.016 0.000
-0.770 2.454 0.000
0.000 0.000 8.355
Be Cr As
1 2 1
Cartesian
0.901 1.235 6.709
0.000 0.000 0.004
0.901 1.235 1.906
0.000 0.000 3.913
```

Total magnetic moment in μB/cell: 0.00
DFT formation energy in meV per atom: 351
ΔE to the lowest computed polymorph in eV/f.u.: 1.39

[8]
Material: TeH2Pb2
Method: DFT, PBE-GGA
State: relaxed

Cell and atoms, written as POSCAR:
```
TeH2Pb2
1.0
-3.909 -2.716 0.340
0.180 -0.847 -4.692
0.940 -5.715 -1.358
Pb H Te
2 2 1
Cartesian
-2.417 -5.106 -1.597
-0.372 -4.172 -4.113
-0.863 -3.187 -1.884
-1.926 -6.091 -3.827
0.000 0.000 0.000
```

Total magnetic moment in μB/cell: 0.00
ΔE to the lowest computed polymorph in eV/f.u.: 0.00